Below is crystalline TbThH4 at its relaxed geometry, with properties calculated at the PBE level.

The structure in extended XYZ format:
```
6
Lattice="-1.694 -0.448 3.277 1.338 -3.460 0.219 4.490 1.900 2.581" Properties=species:S:1:pos:R:3 pbc="T T T"
H 0.330 0.274 2.316
H 1.847 -1.232 0.786
H 3.981 -0.329 2.013
H 2.465 1.177 3.543
Tb 2.067 -1.004 3.039
Th 0.000 0.000 0.000
```

- total DFT energy (no corrections) (eV/f.u.) = -29.1
- crystal system = tetragonal
- space group = P4/mmm, No. 123
- D(E_F) (states/eV/cell) = 2.1
- magnetic moment (μB/cell) = 0.00

=====

Below is crystalline TbThH at its relaxed geometry, with properties calculated at the PBE level.

The structure in extended XYZ format:
```
3
Lattice="3.545 0.000 0.000 1.772 3.070 0.000 1.772 1.023 6.121" Properties=species:S:1:pos:R:3 pbc="T T T"
Tb 3.545 2.047 5.794
Th 3.545 2.047 2.548
H 1.772 1.023 4.168
```

- total DFT energy (no corrections) (eV/f.u.) = -15.6
- crystal system = trigonal
- space group = R3m, No. 160
- D(E_F) (states/eV/cell) = 2.9
- polymorph energy (0 for the lowest one) (meV/atom) = 115
- magnetic moment (μB/cell) = 0.00